This record from the Alexandria database describes a geometry-optimized Ce8AsIr3I4 structure. The functional is PBE-GGA.

```
16
Lattice="4.230 2.442 7.806 -4.230 2.442 7.806 0.000 -4.884 7.806" Properties=species:S:1:pos:R:3 pbc="T T T"
Ce -2.191 -1.265 13.199
Ce 0.000 0.000 5.361
Ce 0.000 -2.530 10.218
Ce -2.191 1.265 10.218
Ce 2.191 -1.265 13.199
Ce 0.000 2.530 13.199
Ce 0.000 0.000 18.056
Ce 2.191 1.265 10.218
As 0.000 0.000 11.709
Ir -4.230 0.000 11.709
Ir -2.115 1.221 3.903
Ir 2.115 1.221 3.903
I 0.000 0.000 0.000
I -2.115 -1.221 7.806
I -2.115 1.221 15.612
I 0.000 2.442 7.806
```

Summary:
- M_tot: 8.312 μB per formula unit
- D(E_F): 2.899 states/eV per atom
- Space-group type: No. 166
- Total DFT energy (no corrections): -6.26 eV/atom